Entry 1:
Crystalline Cr2W2Br at its relaxed geometry, computed with PBE-GGA.

Computed properties:
**Size of the total moment**: 0.0 μB/cell
**Formation energy (no corrections)**: 898 meV per atom
**Theoretical density**: 9.6 g/cm³
**Symmetry**: No. 139

a b c (Å): 3.618 3.618 14.582
angles (deg): 90.00 90.00 90.00
Atoms (fractional coordinates):
Cr  0.000  0.500  0.250
Cr  0.000  0.500  0.750
Cr  0.500  0.000  0.250
Cr  0.500  0.000  0.750
W  0.000  0.000  0.140
W  0.000  0.000  0.860
W  0.500  0.500  0.360
W  0.500  0.500  0.640
Br  0.000  0.000  0.500
Br  0.500  0.500  0.000

Entry 2:
Crystalline Cr2WBr at its relaxed geometry, computed with PBE-GGA.

Computed properties:
**Size of the total moment**: 0.0 μB/cell
**Formation energy (no corrections)**: 642 meV per atom
**Theoretical density**: 8.9 g/cm³
**Symmetry**: No. 6

a b c (Å): 3.289 3.163 6.731
angles (deg): 90.00 101.86 90.00
Atoms (fractional coordinates):
Cr  0.000  0.000  0.000
Cr  0.442  0.500  0.847
W  0.861  0.000  0.660
Br  0.682  0.500  0.272

Entry 3:
Crystalline CrW2Br at its relaxed geometry, computed with PBE-GGA.

Computed properties:
**Size of the total moment**: 0.7 μB/cell
**Formation energy (no corrections)**: 1099 meV per atom
**Theoretical density**: 13.5 g/cm³
**Symmetry**: No. 123

a b c (Å): 4.574 4.574 2.930
angles (deg): 90.00 90.00 90.00
Atoms (fractional coordinates):
Cr  0.000  0.000  0.000
W  0.000  0.500  0.500
W  0.500  0.000  0.500
Br  0.500  0.500  0.000

Entry 4:
Crystalline Cr2WBr at its relaxed geometry, computed with PBE-GGA.

Computed properties:
**Size of the total moment**: 1.5 μB/cell
**Formation energy (no corrections)**: 645 meV per atom
**Theoretical density**: 9.7 g/cm³
**Symmetry**: No. 99

a b c (Å): 2.985 2.985 7.057
angles (deg): 90.00 90.00 90.00
Atoms (fractional coordinates):
Cr  0.000  0.000  0.000
Cr  0.500  0.500  0.193
W  0.000  0.000  0.412
Br  0.500  0.500  0.700

Entry 5:
Crystalline CrWBr at its relaxed geometry, computed with PBE-GGA.

Computed properties:
**Size of the total moment**: 2.7 μB/cell
**Formation energy (no corrections)**: 765 meV per atom
**Theoretical density**: 9.8 g/cm³
**Symmetry**: No. 42

a b c (Å): 3.232 5.211 12.720
angles (deg): 90.00 90.00 90.00
Atoms (fractional coordinates):
Cr  0.000  0.000  0.000
Cr  0.000  0.500  0.500
Cr  0.500  0.000  0.500
Cr  0.500  0.500  0.000
W  0.000  0.000  0.368
W  0.000  0.500  0.868
W  0.500  0.000  0.868
W  0.500  0.500  0.368
Br  0.000  0.000  0.673
Br  0.000  0.500  0.173
Br  0.500  0.000  0.173
Br  0.500  0.500  0.673

Entry 6:
Crystalline Cr3WBr at its relaxed geometry, computed with PBE-GGA.

Computed properties:
**Size of the total moment**: 0.1 μB/cell
**Formation energy (no corrections)**: 1675 meV per atom
**Theoretical density**: 8.9 g/cm³
**Symmetry**: No. 221

a b c (Å): 4.274 4.274 4.274
angles (deg): 90.00 90.00 90.00
Atoms (fractional coordinates):
Cr  0.000  0.000  0.500
Cr  0.000  0.500  0.000
Cr  0.500  0.000  0.000
W  0.500  0.500  0.500
Br  0.000  0.000  0.000

Entry 7:
Crystalline CrW2Br at its relaxed geometry, computed with PBE-GGA.

Computed properties:
**Size of the total moment**: 0.0 μB/cell
**Formation energy (no corrections)**: 832 meV per atom
**Theoretical density**: 12.6 g/cm³
**Symmetry**: No. 65

a b c (Å): 3.055 4.810 8.972
angles (deg): 90.00 90.00 90.00
Atoms (fractional coordinates):
Cr  0.000  0.000  0.000
Cr  0.500  0.500  0.000
W  0.000  0.500  0.221
W  0.000  0.500  0.779
W  0.500  0.000  0.221
W  0.500  0.000  0.779
Br  0.000  0.000  0.500
Br  0.500  0.500  0.500

Entry 8:
Crystalline CrWBr at its relaxed geometry, computed with PBE-GGA.

Computed properties:
**Size of the total moment**: 0.0 μB/cell
**Formation energy (no corrections)**: 531 meV per atom
**Theoretical density**: 9.9 g/cm³
**Symmetry**: No. 156

a b c (Å): 3.186 3.186 6.021
angles (deg): 90.00 90.00 120.00
Atoms (fractional coordinates):
Cr  0.000  0.000  0.000
W  0.667  0.333  0.252
Br  0.333  0.667  0.648

Question: What is the theoretical density in the sixth record?
Answer: 8.9 g/cm³